No. 1
The following is a DFT calculation (PBEsol) of a geometry-optimized Rb2Sn2Hg3S8 structure.

Geometry as POSCAR:
```
Rb2Sn2Hg3S8
1.0
10.073 0.000 0.000
0.000 6.570 0.000
-1.633 0.000 13.246
Rb Sn Hg S
4 4 6 16
Direct
0.224 0.155 0.313
0.224 0.345 0.813
0.776 0.655 0.187
0.776 0.845 0.687
0.282 0.686 0.080
0.282 0.814 0.580
0.718 0.186 0.420
0.718 0.314 0.920
0.000 0.000 0.000
0.000 0.500 0.500
0.500 0.206 0.119
0.500 0.294 0.619
0.500 0.706 0.381
0.500 0.794 0.881
0.078 0.696 0.642
0.078 0.804 0.142
0.264 0.686 0.410
0.264 0.814 0.910
0.270 0.180 0.576
0.270 0.320 0.076
0.471 0.679 0.680
0.471 0.821 0.180
0.529 0.179 0.820
0.529 0.321 0.320
0.730 0.680 0.924
0.730 0.820 0.424
0.736 0.186 0.090
0.736 0.314 0.590
0.922 0.196 0.858
0.922 0.304 0.358
```

- ρ (g/cm³) = 4.8
- formation energy (no corrections) (meV per atom) = -528
- symmetry = P2_1/c
- E (eV per atom) = -3.6844

=====

No. 2
The following is a DFT calculation (PBEsol) of a geometry-optimized ZnCd3 structure.

Geometry as POSCAR:
```
ZnCd3
1.0
7.529 0.000 0.000
0.000 7.994 0.000
0.000 0.000 5.274
Zn Cd
4 12
Direct
0.122 0.250 0.084
0.378 0.750 0.584
0.622 0.250 0.416
0.878 0.750 0.916
0.029 0.750 0.412
0.191 0.564 0.938
0.191 0.936 0.938
0.309 0.064 0.438
0.309 0.436 0.438
0.471 0.250 0.912
0.529 0.750 0.088
0.691 0.564 0.562
0.691 0.936 0.562
0.809 0.064 0.062
0.809 0.436 0.062
0.971 0.250 0.588
```

- ρ (g/cm³) = 8.4
- symmetry = Pnma
- calculated formation energy (eV per atom) = 0.052
- E (eV per atom) = -1.2407

=====

No. 3
The following is a DFT calculation (PBEsol) of a geometry-optimized TiCrPdCl2 structure.

Geometry as POSCAR:
```
TiCrPdCl2
1.0
4.557 0.000 0.000
0.000 4.557 0.000
0.000 0.000 4.976
Ti Cr Pd Cl
1 1 1 2
Direct
0.000 0.000 0.000
0.500 0.500 0.500
0.000 0.000 0.500
0.000 0.500 0.000
0.500 0.000 0.000
```

- ρ (g/cm³) = 4.5
- formation energy (no corrections) (meV per atom) = 74
- symmetry = P4/mmm
- E (eV per atom) = -5.6341

=====

No. 4
The following is a DFT calculation (PBEsol) of a geometry-optimized CoTcPO2 structure.

Geometry as POSCAR:
```
CoTcPO2
1.0
3.529 0.000 0.000
0.000 3.529 0.000
0.000 0.000 4.731
Co Tc P O
1 1 1 2
Direct
0.000 0.000 0.000
0.500 0.500 0.500
0.000 0.000 0.500
0.000 0.500 0.000
0.500 0.000 0.000
```

- ρ (g/cm³) = 6.2
- formation energy (no corrections) (meV per atom) = 115
- symmetry = P4/mmm
- E (eV per atom) = -6.9435